# Sr3Tl8Ag3 | the Alexandria database | PBE | optimized geometry
data_Sr3Tl8Ag3
_chemical_formula_sum 'Sr6 Tl16 Ag6'
_cell_length_a 5.154
_cell_length_b 10.987
_cell_length_c 14.129
_cell_angle_alpha 90.00
_cell_angle_beta 90.00
_cell_angle_gamma 90.00
_symmetry_space_group_name_H-M 'I m m m'
_symmetry_Int_Tables_number 71
_symmetry_space_group_name_Hall '-I 2 2'
loop_
_atom_site_label
_atom_site_fract_x
_atom_site_fract_y
_atom_site_fract_z
Sr1 0.000 0.000 0.000
Sr2 0.000 0.000 0.288
Tl1 0.000 0.297 0.137
Tl2 0.000 0.358 0.365
Ag1 0.000 0.134 0.500
Ag2 0.000 0.500 0.000
# - ΔH_f (0 K) (eV/atom) = -0.192

***

# TiNbVTc | the Alexandria database | PBE | optimized geometry
data_TiNbVTc
_chemical_formula_sum 'Ti4 Nb4 V4 Tc4'
_cell_length_a 6.303
_cell_length_b 6.303
_cell_length_c 6.303
_cell_angle_alpha 90.00
_cell_angle_beta 90.00
_cell_angle_gamma 90.00
_symmetry_space_group_name_H-M 'F -4 3 m'
_symmetry_Int_Tables_number 216
_symmetry_space_group_name_Hall 'F -4 2 3'
loop_
_atom_site_label
_atom_site_fract_x
_atom_site_fract_y
_atom_site_fract_z
Ti1 0.000 0.000 0.000
Nb1 0.000 0.000 0.500
V1 0.250 0.250 0.750
Tc1 0.250 0.250 0.250
# - ΔH_f (0 K) (eV/atom) = -0.201
# - energy above the most stable polymorph in this dataset (meV/atom) = 4

***

# Ce2BiAu | the Alexandria database | PBE | optimized geometry
data_Ce2BiAu
_chemical_formula_sum 'Ce8 Bi4 Au4'
_cell_length_a 4.287
_cell_length_b 23.926
_cell_length_c 4.724
_cell_angle_alpha 90.00
_cell_angle_beta 90.00
_cell_angle_gamma 90.00
_symmetry_space_group_name_H-M 'C m c m'
_symmetry_Int_Tables_number 63
_symmetry_space_group_name_Hall '-C 2c 2'
loop_
_atom_site_label
_atom_site_fract_x
_atom_site_fract_y
_atom_site_fract_z
Ce1 0.000 0.057 0.250
Ce2 0.000 0.326 0.250
Bi1 0.000 0.191 0.250
Au1 0.000 0.458 0.250
# - ΔH_f (0 K) (eV/atom) = -0.612

***

# AcHfAlIr2 | the Alexandria database | PBE | optimized geometry
data_AcHfAlIr2
_chemical_formula_sum 'Ac2 Hf2 Al2 Ir4'
_cell_length_a 4.246
_cell_length_b 4.246
_cell_length_c 11.957
_cell_angle_alpha 90.00
_cell_angle_beta 90.00
_cell_angle_gamma 90.00
_symmetry_space_group_name_H-M 'I -4 m 2'
_symmetry_Int_Tables_number 119
_symmetry_space_group_name_Hall 'I -4 -2'
loop_
_atom_site_label
_atom_site_fract_x
_atom_site_fract_y
_atom_site_fract_z
Ac1 0.000 0.000 0.000
Hf1 0.000 0.500 0.250
Al1 0.000 0.500 0.750
Ir1 0.000 0.000 0.383
# - ΔH_f (0 K) (eV/atom) = -0.866

***

# KTeBr2 | the Alexandria database | PBE | optimized geometry
data_KTeBr2
_chemical_formula_sum 'K1 Te1 Br2'
_cell_length_a 4.671
_cell_length_b 4.671
_cell_length_c 6.274
_cell_angle_alpha 90.00
_cell_angle_beta 90.00
_cell_angle_gamma 90.00
_symmetry_space_group_name_H-M 'P 4 m m'
_symmetry_Int_Tables_number 99
loop_
_symmetry_equiv_pos_as_xyz
'x,y,z'
'-y,x,z'
'-x,-y,z'
'y,-x,z'
'-x,y,z'
'y,x,z'
'x,-y,z'
'-y,-x,z'
loop_
_atom_site_label
_atom_site_fract_x
_atom_site_fract_y
_atom_site_fract_z
K1 0.000 0.000 0.000
Te1 0.500 0.500 0.502
Br1 0.000 0.000 0.500
Br2 0.500 0.500 0.002
# - energy relative to the elements, uncorrected (eV/f.u.) = -2.73
# - energy above the most stable polymorph in this dataset (meV/atom) = 106

***

# GdPaBi | the Alexandria database | PBE | optimized geometry
data_GdPaBi
_chemical_formula_sum 'Gd2 Pa2 Bi2'
_cell_length_a 4.022
_cell_length_b 4.022
_cell_length_c 10.899
_cell_angle_alpha 90.00
_cell_angle_beta 90.00
_cell_angle_gamma 90.00
_symmetry_space_group_name_H-M 'I 4 m m'
_symmetry_Int_Tables_number 107
_symmetry_space_group_name_Hall 'I 4 -2'
loop_
_atom_site_label
_atom_site_fract_x
_atom_site_fract_y
_atom_site_fract_z
Gd1 0.000 0.000 0.000
Pa1 0.000 0.000 0.308
Bi1 0.000 0.000 0.651
# - ΔH_f (0 K) (eV/atom) = -0.053
# - energy above the most stable polymorph in this dataset (meV/atom) = 0

***

Q: Which D(E_F) values were calculated for the entries above? A: 5.414 5.408 14.279 3.004 1.613 6.375, in states/eV/f.u..